Record 1
CoAs5 | PBE | relaxed

Lattice parameters (Å, degrees): 2.821 2.821 13.638 90.00 90.00 90.00
Space group P4/mmm (No. 123)
Symmetry-distinct sites (fractional):
Co  0.000  0.000  0.000 x1
As  0.000  0.000  0.320 x2
As  0.500  0.500  0.113 x2
As  0.500  0.500  0.500 x1

Values from the calculation:
- Energy relative to the lowest polymorph listed for this composition: 179 meV/atom
- Energy relative to the elements: 238.2 meV per atom

Record 2
La2Hf2Bi | PBE | relaxed

Lattice parameters (Å, degrees): 7.817 7.817 4.788 90.00 90.00 90.00
Space group P4/mbm (No. 127)
Symmetry-distinct sites (fractional):
La  0.171  0.329  0.000 x4
Hf  0.131  0.631  0.500 x4
Bi  0.000  0.000  0.500 x2

Values from the calculation:
- Energy relative to the elements: -17.3 meV per atom

Record 3
Al2Cu5Ni | PBE | relaxed

Lattice parameters (Å, degrees): 4.263 4.263 10.921 90.00 90.00 90.00
Space group I4/mmm (No. 139)
Symmetry-distinct sites (fractional):
Al  0.000  0.000  0.246 x4
Cu  0.000  0.000  0.500 x2
Cu  0.000  0.500  0.122 x8
Ni  0.000  0.000  0.000 x2

Values from the calculation:
- Energy relative to the lowest polymorph listed for this composition: 102 meV/atom
- Energy relative to the elements: -135.4 meV per atom

Record 4
K2CuMoBr6 | PBE | relaxed

Lattice parameters (Å, degrees): 10.581 10.581 10.581 90.00 90.00 90.00
Space group Fm-3m (No. 225)
Symmetry-distinct sites (fractional):
K  0.250  0.250  0.250 x8
Cu  0.000  0.000  0.000 x4
Mo  0.000  0.000  0.500 x4
Br  0.000  0.000  0.252 x24

Values from the calculation:
- ΔE_f (raw): -0.885 eV per atom